[1]
This record from Alexandria via LeMat-Bulk describes LiNiAg after structural relaxation. The functional is PBE.

Unit cell a=4.1521 b=4.1521 c=4.1521 alpha=60.00 beta=60.00 gamma=60.00
With the nearest neighbours (Å) after each atom.
Atoms (fractional coordinates):
Ag1 0.0000 0.0000 0.0000  4 Ni 2.54
Li1 0.5000 0.5000 0.5000  4 Ni 2.54
Ni1 0.7500 0.7500 0.7500  4 Li 2.54, 4 Ag 2.54

Magnetization, μB per formula unit: 0.00
Theoretical density, g/cm3: 5.69
Crystal system: cubic
Energy, eV/atom: -3.139
Distance to the lowest polymorph of the same formula, meV/atom: 316
Density of states at the Fermi level, states/eV/cell: 4.2
Formation energy from the elements, eV/f.u.: 1.13

[2]
This record from Alexandria via LeMat-Bulk describes LiNi2Ag after structural relaxation. The functional is PBE.

Unit cell a=4.0540 b=3.5510 c=3.5510 alpha=90.00 beta=90.00 gamma=90.00
With the nearest neighbours (Å) after each atom.
Atoms (fractional coordinates):
Ag1 0.5000 0.5000 0.0000  4 Li 2.51, 8 Ni 2.69
Li1 0.5000 0.0000 0.5000  4 Ag 2.51, 8 Ni 2.69
Ni1 0.0000 0.0000 0.0000  4 Ni 2.51, 4 Li 2.69, 4 Ag 2.69
Ni2 0.0000 0.5000 0.5000  4 Ni 2.51, 4 Li 2.69, 4 Ag 2.69

Magnetization, μB per formula unit: 0.39
Theoretical density, g/cm3: 7.54
Crystal system: tetragonal
Energy, eV/atom: -3.985
Density of states at the Fermi level, states/eV/cell: 5.6
Formation energy from the elements, eV/f.u.: 0.39

[3]
This record from Alexandria via LeMat-Bulk describes LiNiAg2 after structural relaxation. The functional is PBE.

Unit cell a=4.4237 b=4.4237 c=4.4237 alpha=60.00 beta=60.00 gamma=60.00
With the nearest neighbours (Å) after each atom.
Atoms (fractional coordinates):
Ag1 0.0000 0.0000 0.0000  4 Ni 2.71, 4 Ag 2.71
Ag2 0.2500 0.2500 0.2500  4 Ag 2.71, 4 Li 2.71
Li1 0.5000 0.5000 0.5000  4 Ag 2.71, 4 Ni 2.71
Ni1 0.7500 0.7500 0.7500  4 Li 2.71, 4 Ag 2.71

Magnetization, μB per formula unit: 0.00
Theoretical density, g/cm3: 7.63
Crystal system: cubic
Energy, eV/atom: -3.252
Density of states at the Fermi level, states/eV/cell: 1.9
Formation energy from the elements, eV/f.u.: 0.39

[4]
This record from Alexandria via LeMat-Bulk describes LiNiAg2 after structural relaxation. The functional is PBE.

Unit cell a=4.8959 b=4.8959 c=4.8959 alpha=133.77 beta=133.77 gamma=67.45
With the nearest neighbours (Å) after each atom.
Atoms (fractional coordinates):
Ag1 0.0000 0.0000 0.0000  4 Li 2.72, 4 Ag 2.80, 4 Ni 2.80
Ag2 0.2500 0.7500 0.5000  4 Ni 2.72, 4 Li 2.80, 4 Ag 2.80
Li1 0.5000 0.5000 0.0000  8 Ag 2.72-2.80, 4 Ni 2.80
Ni1 0.7500 0.2500 0.5000  8 Ag 2.72-2.80, 4 Li 2.80

Magnetization, μB per formula unit: 0.00
Theoretical density, g/cm3: 7.76
Crystal system: tetragonal
Energy, eV/atom: -3.310
Density of states at the Fermi level, states/eV/cell: 2.3
Formation energy from the elements, eV/f.u.: 0.16